Record 1
Here is a relaxed structure of TlHgIr2 from the Alexandria database. Energies are from PBE.

Values from the calculation:
Polymorph energy (0 for the lowest one) ... 299 meV per atom
Crystal system ... tetragonal
Fermi-level density of states ... 10.02 states/eV/cell
Calculated formation energy ... 70.2 kJ per mole of atoms

Lattice parameters (Å, degrees): 4.1566 4.1566 8.3822 90.00 90.00 90.00
With the nearest neighbours (Å) after each atom.
Space group I-4m2 (No. 119)
Unique sites:
Tl  0.0000  0.0000  0.0000 (multiplicity 2)  8 Ir 2.94-2.95, 4 Hg 2.95
Hg  0.0000  0.5000  0.7500 (multiplicity 2)  8 Ir 2.94-2.95, 4 Tl 2.95
Ir  0.0000  0.0000  0.5000 (multiplicity 2)  4 Tl 2.94, 4 Hg 2.95, 4 Ir 2.95
Ir  0.0000  0.5000  0.2500 (multiplicity 2)  4 Hg 2.94, 4 Tl 2.95, 4 Ir 2.95

=====

Record 2
Here is a relaxed structure of TlHgIr2 from the Alexandria database. Energies are from PBE.

Values from the calculation:
Polymorph energy (0 for the lowest one) ... 211 meV per atom
Crystal system ... orthorhombic
Fermi-level density of states ... 5.34 states/eV/cell
Calculated formation energy ... 61.8 kJ per mole of atoms

Lattice parameters (Å, degrees): 3.0180 5.1654 9.3920 90.00 90.00 90.00
With the nearest neighbours (Å) after each atom.
Space group Immm (No. 71)
Unique sites:
Tl  0.0000  0.0000  0.0000 (multiplicity 2)  4 Ir 2.77, 4 Hg 2.99, 2 Tl 3.02
Hg  0.0000  0.0000  0.5000 (multiplicity 2)  4 Ir 2.81, 4 Tl 2.99, 2 Hg 3.02
Ir  0.0000  0.5000  0.2522 (multiplicity 4)  2 Tl 2.77, 2 Hg 2.81, 6 Ir 2.99-3.02